(1)
The following is a PBE calculation of a relaxed structure of ReAs2SeBr, from Alexandria.

## Properties
Crystal system   tetragonal
Uncorrected formation energy   1.97 eV per atom
Fermi-level density of states   0.687 states/eV/atom

Geometry as CIF:
```
data_ReAs2SeBr
_chemical_formula_sum 'Re1 As2 Se1 Br1'
_space_group_name_H-M_alt 'P 4/m m m'
_space_group_IT_number 123
_space_group_name_Hall '-P 4 2'
_cell_length_a 4.9937
_cell_length_b 4.9937
_cell_length_c 5.1155
_cell_angle_alpha 90.00
_cell_angle_beta 90.00
_cell_angle_gamma 90.00
loop_
_atom_site_label
_atom_site_type_symbol
_atom_site_fract_x
_atom_site_fract_y
_atom_site_fract_z
Re1 Re 0.0000 0.0000 0.0000
As1 As 0.0000 0.5000 0.5000
Se1 Se 0.5000 0.5000 0.0000
Br1 Br 0.5000 0.5000 0.5000
```

(2)
The following is a PBE calculation of a relaxed structure of CaMgBiAu, from Alexandria.

## Properties
Crystal system   cubic
Fermi-level density of states   0.013 states/eV/atom
ΔE_f   -0.5588 eV/atom

Geometry as CIF:
```
data_CaMgBiAu
_chemical_formula_sum 'Ca4 Mg4 Bi4 Au4'
_space_group_name_H-M_alt 'F -4 3 m'
_space_group_IT_number 216
_space_group_name_Hall 'F -4 2 3'
_cell_length_a 7.3530
_cell_length_b 7.3530
_cell_length_c 7.3530
_cell_angle_alpha 90.00
_cell_angle_beta 90.00
_cell_angle_gamma 90.00
loop_
_atom_site_label
_atom_site_type_symbol
_atom_site_fract_x
_atom_site_fract_y
_atom_site_fract_z
Ca1 Ca 0.0000 0.0000 0.0000
Mg1 Mg 0.0000 0.0000 0.5000
Bi1 Bi 0.2500 0.2500 0.2500
Au1 Au 0.2500 0.2500 0.7500
```

(3)
The following is a PBE calculation of a relaxed structure of LiCrPt2, from Alexandria.

## Properties
Crystal system   tetragonal
Fermi-level density of states   0.758 states/eV/atom
ΔE_f   -0.0050 eV/atom

Geometry as CIF:
```
data_LiCrPt2
_chemical_formula_sum 'Li1 Cr1 Pt2'
_space_group_name_H-M_alt 'P 4 m m'
_space_group_IT_number 99
_space_group_name_Hall 'P 4 -2'
_cell_length_a 2.7160
_cell_length_b 2.7160
_cell_length_c 7.9779
_cell_angle_alpha 90.00
_cell_angle_beta 90.00
_cell_angle_gamma 90.00
loop_
_atom_site_label
_atom_site_type_symbol
_atom_site_fract_x
_atom_site_fract_y
_atom_site_fract_z
Li1 Li 0.0000 0.0000 0.0000
Cr1 Cr 0.5000 0.5000 0.7211
Pt1 Pt 0.0000 0.0000 0.4986
Pt2 Pt 0.5000 0.5000 0.2282
```

(4)
The following is a PBE calculation of a relaxed structure of La2SN, from Alexandria.

## Properties
Crystal system   trigonal
Uncorrected formation energy   -1.76 eV per atom
Fermi-level density of states   0.380 states/eV/atom

Geometry as CIF:
```
data_La2SN
_chemical_formula_sum 'La6 S3 N3'
_space_group_name_H-M_alt 'R -3 m'
_space_group_IT_number 166
_space_group_name_Hall '-R 3 2"'
_cell_length_a 3.8821
_cell_length_b 3.8821
_cell_length_c 20.0607
_cell_angle_alpha 90.00
_cell_angle_beta 90.00
_cell_angle_gamma 120.00
loop_
_atom_site_label
_atom_site_type_symbol
_atom_site_fract_x
_atom_site_fract_y
_atom_site_fract_z
La1 La 0.0000 0.0000 0.2377
S1 S 0.0000 0.0000 0.0000
N1 N 0.0000 0.0000 0.5000
```

Repeat the fourth record exactly.
The following is a PBE calculation of a relaxed structure of La2SN, from Alexandria.

## Properties
Crystal system   trigonal
Uncorrected formation energy   -1.76 eV per atom
Fermi-level density of states   0.380 states/eV/atom

Geometry as CIF:
```
data_La2SN
_chemical_formula_sum 'La6 S3 N3'
_space_group_name_H-M_alt 'R -3 m'
_space_group_IT_number 166
_space_group_name_Hall '-R 3 2"'
_cell_length_a 3.8821
_cell_length_b 3.8821
_cell_length_c 20.0607
_cell_angle_alpha 90.00
_cell_angle_beta 90.00
_cell_angle_gamma 120.00
loop_
_atom_site_label
_atom_site_type_symbol
_atom_site_fract_x
_atom_site_fract_y
_atom_site_fract_z
La1 La 0.0000 0.0000 0.2377
S1 S 0.0000 0.0000 0.0000
N1 N 0.0000 0.0000 0.5000
```

Q: The highest Fermi-level density of states belongs to which entry?
A: LiCrPt2

Q: Which of these has the lowest Fermi-level density of states?
A: CaMgBiAu